Entry 1:
Below is crystalline PuScGaCo at its relaxed geometry, with properties calculated at the PBE level.

Unit cell a=4.760 b=4.760 c=4.760 alpha=60.00 beta=60.00 gamma=60.00
Each line ends with the local moment (μB).
Fractional positions:
Sc1 0.250 0.250 0.250  0.12
Co1 0.500 0.500 0.500  -1.27
Ga1 0.000 0.000 0.000  -0.07
Pu1 0.750 0.750 0.750  5.11

Summary:
For the calculated formation energy, the calculation gives -0.789 eV per formula unit. For the density of states at the Fermi level, the calculation gives 6.360 states/eV per cell.

=====

Entry 2:
Below is crystalline PuGaCo3Si at its relaxed geometry, with properties calculated at the PBE level.

Unit cell a=5.360 b=6.090 c=6.419 alpha=118.32 beta=90.00 gamma=90.00
Each line ends with the local moment (μB).
Fractional positions:
Co1 0.250 0.167 0.334  -1.28
Co2 0.000 0.697 0.000  -0.45
Co3 0.750 0.833 0.666  -1.28
Co4 0.500 0.303 0.000  -0.45
Pu1 0.250 0.705 0.409  5.06
Si1 0.250 0.372 0.743  0.00
Co5 0.500 0.697 0.000  -0.45
Ga1 0.250 0.953 0.906  0.02
Co6 0.000 0.303 0.000  -0.45
Ga2 0.750 0.047 0.094  0.02
Pu2 0.750 0.295 0.591  5.06
Si2 0.750 0.628 0.257  0.00

Summary:
For the density of states at the Fermi level, the calculation gives 25.951 states/eV per cell. For the formation energy without anion corrections, the calculation gives -93 meV per atom.

=====

Entry 3:
Below is crystalline TbPuGaCo at its relaxed geometry, with properties calculated at the PBE level.

Unit cell a=4.918 b=4.918 c=4.918 alpha=60.00 beta=60.00 gamma=60.00
Each line ends with the local moment (μB).
Fractional positions:
Tb1 0.250 0.250 0.250  0.16
Ga1 0.500 0.500 0.500  -0.05
Pu1 0.750 0.750 0.750  5.25
Co1 0.000 0.000 0.000  -1.37

Summary:
For the calculated formation energy, the calculation gives -0.621 eV per formula unit. For the density of states at the Fermi level, the calculation gives 6.492 states/eV per cell.

=====

Entry 4:
Below is crystalline TmPuGaCo at its relaxed geometry, with properties calculated at the PBE level.

Unit cell a=4.869 b=4.869 c=4.869 alpha=60.00 beta=60.00 gamma=60.00
Each line ends with the local moment (μB).
Fractional positions:
Co1 0.000 0.000 0.000  -1.32
Ga1 0.500 0.500 0.500  -0.06
Pu1 0.750 0.750 0.750  5.19
Tm1 0.250 0.250 0.250  0.16

Summary:
For the calculated formation energy, the calculation gives -0.748 eV per formula unit. For the density of states at the Fermi level, the calculation gives 6.452 states/eV per cell.

=====

Entry 5:
Below is crystalline RbGaCo2 at its relaxed geometry, with properties calculated at the PBE level.

Unit cell a=4.799 b=4.799 c=9.098 alpha=74.71 beta=74.71 gamma=90.00
Each line ends with the local moment (μB).
Fractional positions:
Rb1 0.000 0.000 0.000  -0.02
Co1 0.875 0.625 0.750  1.38
Ga1 0.500 0.500 0.000  -0.10
Ga2 0.250 0.750 0.500  -0.10
Rb2 0.750 0.250 0.500  -0.02
Co2 0.375 0.125 0.250  1.58
Co3 0.375 0.625 0.250  1.60
Co4 0.375 0.625 0.750  1.36

Summary:
For the calculated formation energy, the calculation gives 2.729 eV per formula unit. For the density of states at the Fermi level, the calculation gives 8.758 states/eV per cell.

=====

Entry 6:
Below is crystalline RbGaCo3 at its relaxed geometry, with properties calculated at the PBE level.

Unit cell a=4.627 b=4.627 c=4.627 alpha=90.00 beta=90.00 gamma=90.00
Each line ends with the local moment (μB).
Fractional positions:
Co1 0.000 0.500 0.000  1.28
Ga1 0.500 0.500 0.500  -0.02
Rb1 0.000 0.000 0.000  -0.03
Co2 0.000 0.000 0.500  1.15
Co3 0.500 0.000 0.000  1.26

Summary:
For the calculated formation energy, the calculation gives 12.226 eV per formula unit. For the density of states at the Fermi level, the calculation gives 10.008 states/eV per cell. For the energy above the most stable polymorph in this dataset, the calculation gives 1334.9 meV/atom.

=====

Entry 7:
Below is crystalline RbGaCo3 at its relaxed geometry, with properties calculated at the PBE level.

Unit cell a=4.711 b=4.711 c=4.711 alpha=90.00 beta=90.00 gamma=90.00
Each line ends with the local moment (μB).
Fractional positions:
Co1 0.500 0.000 0.000  1.95
Co2 0.000 0.500 0.000  1.85
Rb1 0.500 0.500 0.500  0.00
Co3 0.000 0.000 0.500  1.44
Ga1 0.000 0.000 0.000  -0.12

Summary:
For the calculated formation energy, the calculation gives 5.552 eV per formula unit. For the density of states at the Fermi level, the calculation gives 9.410 states/eV per cell. For the energy above the most stable polymorph in this dataset, the calculation gives 0.0 meV/atom.

=====

Entry 8:
Below is crystalline RbTlGa2Co at its relaxed geometry, with properties calculated at the PBE level.

Unit cell a=4.793 b=4.793 c=5.187 alpha=90.00 beta=90.00 gamma=90.00
Each line ends with the local moment (μB).
Fractional positions:
Tl1 0.000 0.000 0.500  0.00
Co1 0.000 0.000 0.000  0.06
Rb1 0.500 0.500 0.500  0.00
Ga1 0.000 0.500 0.000  0.00
Ga2 0.500 0.000 0.000  0.00

Summary:
For the calculated formation energy, the calculation gives 0.001 eV per formula unit. For the density of states at the Fermi level, the calculation gives 3.515 states/eV per cell.